Record 1
Compound: ThZn2Ru2
Source: the Alexandria database
Functional: PBE
Structure: relaxed

Results
**ΔE_f**: -0.603 eV per formula unit
**Offset from the most stable computed form**: 96.3 meV/atom
**Magnetization**: 0.013 μB/cell

Geometry as CIF:
```
data_ThZn2Ru2
_chemical_formula_sum 'Th8 Zn16 Ru16'
_symmetry_space_group_name_H-M 'F d d d'
_symmetry_Int_Tables_number 70
_cell_length_a 5.402
_cell_length_b 8.633
_cell_length_c 16.446
_cell_angle_alpha 90.00
_cell_angle_beta 90.00
_cell_angle_gamma 90.00
loop_
_symmetry_equiv_pos_as_xyz
'x,y,z'
'-x,-y,-z'
'-x+1/4,-y+1/4,z'
'x+1/4,y+1/4,-z'
'x,-y+1/4,-z+1/4'
'-x,y+1/4,z+1/4'
'-x+1/4,y,-z+1/4'
'x+1/4,-y,z+1/4'
'x,y+1/2,z+1/2'
'-x,-y+1/2,-z+1/2'
'-x+1/4,-y+3/4,z+1/2'
'x+1/4,y+3/4,-z+1/2'
'x,-y+3/4,-z+3/4'
'-x,y+3/4,z+3/4'
'-x+1/4,y+1/2,-z+3/4'
'x+1/4,-y+1/2,z+3/4'
'x+1/2,y,z+1/2'
'-x+1/2,-y,-z+1/2'
'-x+3/4,-y+1/4,z+1/2'
'x+3/4,y+1/4,-z+1/2'
'x+1/2,-y+1/4,-z+3/4'
'-x+1/2,y+1/4,z+3/4'
'-x+3/4,y,-z+3/4'
'x+3/4,-y,z+3/4'
'x+1/2,y+1/2,z'
'-x+1/2,-y+1/2,-z'
'-x+3/4,-y+3/4,z'
'x+3/4,y+3/4,-z'
'x+1/2,-y+3/4,-z+1/4'
'-x+1/2,y+3/4,z+1/4'
'-x+3/4,y+1/2,-z+1/4'
'x+3/4,-y+1/2,z+1/4'
loop_
_atom_site_label
_atom_site_type_symbol
_atom_site_fract_x
_atom_site_fract_y
_atom_site_fract_z
Th1 Th 0.125 0.125 0.125
Zn1 Zn 0.125 0.125 0.509
Ru1 Ru 0.125 0.333 0.625
```

=====

Record 2
Compound: Th3Zn9Ru2
Source: the Alexandria database
Functional: PBE
Structure: relaxed

Results
**ΔE_f**: -3.975 eV per formula unit
**Magnetization**: 0.000 μB/cell

Geometry as CIF:
```
data_Th3Zn9Ru2
_chemical_formula_sum 'Th6 Zn18 Ru4'
_symmetry_space_group_name_H-M 'I m m m'
_symmetry_Int_Tables_number 71
_symmetry_space_group_name_Hall '-I 2 2'
_cell_length_a 4.520
_cell_length_b 9.505
_cell_length_c 12.135
_cell_angle_alpha 90.00
_cell_angle_beta 90.00
_cell_angle_gamma 90.00
loop_
_atom_site_label
_atom_site_type_symbol
_atom_site_fract_x
_atom_site_fract_y
_atom_site_fract_z
Th1 Th 0.000 0.000 0.000
Th2 Th 0.000 0.000 0.304
Zn1 Zn 0.000 0.281 0.127
Zn2 Zn 0.000 0.359 0.347
Zn3 Zn 0.000 0.500 0.000
Ru1 Ru 0.000 0.161 0.500
```

=====

Record 3
Compound: ThZn3Ru3
Source: the Alexandria database
Functional: PBE
Structure: relaxed

Results
**ΔE_f**: 5.635 eV per formula unit
**Magnetization**: 3.278 μB/cell

Geometry as CIF:
```
data_ThZn3Ru3
_chemical_formula_sum 'Th2 Zn6 Ru6'
_symmetry_space_group_name_H-M 'P m -3 n'
_symmetry_Int_Tables_number 223
_symmetry_space_group_name_Hall '-P 4n 2 3'
_cell_length_a 6.667
_cell_length_b 6.667
_cell_length_c 6.667
_cell_angle_alpha 90.00
_cell_angle_beta 90.00
_cell_angle_gamma 90.00
loop_
_atom_site_label
_atom_site_type_symbol
_atom_site_fract_x
_atom_site_fract_y
_atom_site_fract_z
Th1 Th 0.000 0.000 0.000
Zn1 Zn 0.000 0.250 0.500
Ru1 Ru 0.000 0.500 0.250
```

=====

Record 4
Compound: Th5Zn2Ru2
Source: the Alexandria database
Functional: PBE
Structure: relaxed

Results
**ΔE_f**: -2.603 eV per formula unit
**Magnetization**: 0.000 μB/cell

Geometry as CIF:
```
data_Th5Zn2Ru2
_chemical_formula_sum 'Th20 Zn8 Ru8'
_symmetry_space_group_name_H-M 'I m a 2'
_symmetry_Int_Tables_number 46
_cell_length_a 19.812
_cell_length_b 6.349
_cell_length_c 7.182
_cell_angle_alpha 90.00
_cell_angle_beta 90.00
_cell_angle_gamma 90.00
loop_
_symmetry_equiv_pos_as_xyz
'x,y,z'
'-x,-y,z'
'-x+1/2,y,z'
'x+1/2,-y,z'
'x+1/2,y+1/2,z+1/2'
'-x+1/2,-y+1/2,z+1/2'
'-x,y+1/2,z+1/2'
'x,-y+1/2,z+1/2'
loop_
_atom_site_label
_atom_site_type_symbol
_atom_site_fract_x
_atom_site_fract_y
_atom_site_fract_z
Th1 Th 0.080 0.159 0.000
Th2 Th 0.159 0.648 0.864
Th3 Th 0.250 0.167 0.726
Zn1 Zn 0.046 0.638 0.155
Ru1 Ru 0.000 0.000 0.305
Ru2 Ru 0.250 0.575 0.554
```

=====

Record 5
Compound: ThZn5Ru2
Source: the Alexandria database
Functional: PBE
Structure: relaxed

Results
**ΔE_f**: -1.517 eV per formula unit
**Magnetization**: 0.000 μB/cell

Geometry as CIF:
```
data_ThZn5Ru2
_chemical_formula_sum 'Th2 Zn10 Ru4'
_symmetry_space_group_name_H-M 'I m m m'
_symmetry_Int_Tables_number 71
_symmetry_space_group_name_Hall '-I 2 2'
_cell_length_a 3.925
_cell_length_b 7.746
_cell_length_c 9.184
_cell_angle_alpha 90.00
_cell_angle_beta 90.00
_cell_angle_gamma 90.00
loop_
_atom_site_label
_atom_site_type_symbol
_atom_site_fract_x
_atom_site_fract_y
_atom_site_fract_z
Th1 Th 0.000 0.000 0.000
Zn1 Zn 0.000 0.179 0.344
Zn2 Zn 0.000 0.500 0.000
Ru1 Ru 0.000 0.500 0.277
```

=====

Record 6
Compound: Th4ZnRu
Source: the Alexandria database
Functional: PBE
Structure: relaxed

Results
**ΔE_f**: -0.256 eV per formula unit
**Offset from the most stable computed form**: 208.5 meV/atom
**Magnetization**: 0.000 μB/cell

Geometry as CIF:
```
data_Th4ZnRu
_chemical_formula_sum 'Th8 Zn2 Ru2'
_symmetry_space_group_name_H-M 'I -4'
_symmetry_Int_Tables_number 82
_cell_length_a 6.810
_cell_length_b 6.810
_cell_length_c 7.143
_cell_angle_alpha 90.00
_cell_angle_beta 90.00
_cell_angle_gamma 90.00
loop_
_symmetry_equiv_pos_as_xyz
'x,y,z'
'y,-x,-z'
'-x,-y,z'
'-y,x,-z'
'x+1/2,y+1/2,z+1/2'
'y+1/2,-x+1/2,-z+1/2'
'-x+1/2,-y+1/2,z+1/2'
'-y+1/2,x+1/2,-z+1/2'
loop_
_atom_site_label
_atom_site_type_symbol
_atom_site_fract_x
_atom_site_fract_y
_atom_site_fract_z
Th1 Th 0.184 0.274 0.109
Zn1 Zn 0.000 0.500 0.750
Ru1 Ru 0.000 0.000 0.500
```

=====

Record 7
Compound: ThZn3Ru
Source: the Alexandria database
Functional: PBE
Structure: relaxed

Results
**ΔE_f**: -0.318 eV per formula unit
**Magnetization**: 0.000 μB/cell

Geometry as CIF:
```
data_ThZn3Ru
_chemical_formula_sum 'Th2 Zn6 Ru2'
_symmetry_space_group_name_H-M 'A m m 2'
_symmetry_Int_Tables_number 38
_cell_length_a 4.560
_cell_length_b 4.512
_cell_length_c 10.073
_cell_angle_alpha 90.00
_cell_angle_beta 90.00
_cell_angle_gamma 90.00
loop_
_symmetry_equiv_pos_as_xyz
'x,y,z'
'-x,-y,z'
'-x,y,z'
'x,-y,z'
'x,y+1/2,z+1/2'
'-x,-y+1/2,z+1/2'
'-x,y+1/2,z+1/2'
'x,-y+1/2,z+1/2'
loop_
_atom_site_label
_atom_site_type_symbol
_atom_site_fract_x
_atom_site_fract_y
_atom_site_fract_z
Th1 Th 0.000 0.000 0.000
Zn1 Zn 0.000 0.000 0.300
Zn2 Zn 0.500 0.000 0.509
Zn3 Zn 0.500 0.000 0.779
Ru1 Ru 0.000 0.000 0.656
```

=====

Record 8
Compound: ThZn4Ru
Source: the Alexandria database
Functional: PBE
Structure: relaxed

Results
**ΔE_f**: -1.429 eV per formula unit
**Offset from the most stable computed form**: 0.0 meV/atom
**Magnetization**: 0.000 μB/cell

Geometry as CIF:
```
data_ThZn4Ru
_chemical_formula_sum 'Th2 Zn8 Ru2'
_symmetry_space_group_name_H-M 'P m m a'
_symmetry_Int_Tables_number 51
_cell_length_a 7.819
_cell_length_b 4.175
_cell_length_c 6.763
_cell_angle_alpha 90.00
_cell_angle_beta 90.00
_cell_angle_gamma 90.00
loop_
_symmetry_equiv_pos_as_xyz
'x,y,z'
'-x,-y,-z'
'-x+1/2,-y,z'
'x+1/2,y,-z'
'x+1/2,-y,-z'
'-x+1/2,y,z'
'-x,y,-z'
'x,-y,z'
loop_
_atom_site_label
_atom_site_type_symbol
_atom_site_fract_x
_atom_site_fract_y
_atom_site_fract_z
Th1 Th 0.250 0.000 0.105
Zn1 Zn 0.000 0.000 0.500
Zn2 Zn 0.047 0.500 0.794
Zn3 Zn 0.250 0.500 0.465
Ru1 Ru 0.250 0.000 0.732
```

=====

Record 9
Compound: ThZrZnRu
Source: the Alexandria database
Functional: PBE
Structure: relaxed

Results
**ΔE_f**: -0.868 eV per formula unit
**Magnetization**: 0.000 μB/cell

Geometry as CIF:
```
data_ThZrZnRu
_chemical_formula_sum 'Th4 Zr4 Zn4 Ru4'
_symmetry_space_group_name_H-M 'F -4 3 m'
_symmetry_Int_Tables_number 216
_symmetry_space_group_name_Hall 'F -4 2 3'
_cell_length_a 6.947
_cell_length_b 6.947
_cell_length_c 6.947
_cell_angle_alpha 90.00
_cell_angle_beta 90.00
_cell_angle_gamma 90.00
loop_
_atom_site_label
_atom_site_type_symbol
_atom_site_fract_x
_atom_site_fract_y
_atom_site_fract_z
Th1 Th 0.000 0.000 0.000
Zr1 Zr 0.000 0.000 0.500
Zn1 Zn 0.250 0.250 0.250
Ru1 Ru 0.250 0.250 0.750
```

=====

Record 10
Compound: ThZrRu4
Source: the Alexandria database
Functional: PBE
Structure: relaxed

Results
**ΔE_f**: -1.535 eV per formula unit
**Magnetization**: 0.004 μB/cell

Geometry as CIF:
```
data_ThZrRu4
_chemical_formula_sum 'Th4 Zr4 Ru16'
_symmetry_space_group_name_H-M 'F -4 3 m'
_symmetry_Int_Tables_number 216
_symmetry_space_group_name_Hall 'F -4 2 3'
_cell_length_a 7.549
_cell_length_b 7.549
_cell_length_c 7.549
_cell_angle_alpha 90.00
_cell_angle_beta 90.00
_cell_angle_gamma 90.00
loop_
_atom_site_label
_atom_site_type_symbol
_atom_site_fract_x
_atom_site_fract_y
_atom_site_fract_z
Th1 Th 0.000 0.000 0.000
Zr1 Zr 0.250 0.250 0.750
Ru1 Ru 0.125 0.125 0.375
```

=====

Record 11
Compound: ThZrRu2
Source: the Alexandria database
Functional: PBE
Structure: relaxed

Results
**ΔE_f**: -1.724 eV per formula unit
**Magnetization**: 0.000 μB/cell

Geometry as CIF:
```
data_ThZrRu2
_chemical_formula_sum 'Th1 Zr1 Ru2'
_symmetry_space_group_name_H-M 'P 4/m m m'
_symmetry_Int_Tables_number 123
_symmetry_space_group_name_Hall '-P 4 2'
_cell_length_a 3.329
_cell_length_b 3.329
_cell_length_c 7.159
_cell_angle_alpha 90.00
_cell_angle_beta 90.00
_cell_angle_gamma 90.00
loop_
_atom_site_label
_atom_site_type_symbol
_atom_site_fract_x
_atom_site_fract_y
_atom_site_fract_z
Th1 Th 0.000 0.000 0.000
Zr1 Zr 0.000 0.000 0.500
Ru1 Ru 0.500 0.500 0.278
```

=====

Record 12
Compound: ThZr2Ru
Source: the Alexandria database
Functional: PBE
Structure: relaxed

Results
**ΔE_f**: 0.053 eV per formula unit
**Offset from the most stable computed form**: 258.9 meV/atom
**Magnetization**: 0.000 μB/cell

Geometry as CIF:
```
data_ThZr2Ru
_chemical_formula_sum 'Th4 Zr8 Ru4'
_symmetry_space_group_name_H-M 'F m -3 m'
_symmetry_Int_Tables_number 225
_symmetry_space_group_name_Hall '-F 4 2 3'
_cell_length_a 6.967
_cell_length_b 6.967
_cell_length_c 6.967
_cell_angle_alpha 90.00
_cell_angle_beta 90.00
_cell_angle_gamma 90.00
loop_
_atom_site_label
_atom_site_type_symbol
_atom_site_fract_x
_atom_site_fract_y
_atom_site_fract_z
Th1 Th 0.000 0.000 0.000
Zr1 Zr 0.250 0.250 0.250
Ru1 Ru 0.000 0.000 0.500
```